Below is an optimized crystal structure of Er4BiSb3, with properties calculated at the PBE-GGA level.

SG: Pm-3m (221)
E_tot (eV/atom): -5.357

Cell lengths 6.184, 6.184, 6.184 Å; angles 90.00, 90.00, 90.00 degrees
Positions (direct):
Bi 0.000 0.000 0.000
Er 0.500 0.000 0.000
Er 0.000 0.000 0.500
Sb 0.500 0.000 0.500
Sb 0.000 0.500 0.500
Sb 0.500 0.500 0.000
Er 0.500 0.500 0.500
Er 0.000 0.500 0.000